This record from the Alexandria database describes TbPr2Dy4Er after structural relaxation. The functional is GGA-PBE.

The calculation puts the size of the total moment at 0.00 μB/f.u. The value obtained for the formation energy from the elements is 0.02 eV per atom. As for the symmetry: No. 47. The value obtained for the total energy is -4.6238 eV/atom.

Cell and atoms, written as POSCAR:
```
TbPr2Dy4Er
1.0
5.065 0.000 0.000
0.000 5.089 0.000
0.000 0.000 10.092
Tb Pr Dy Er
1 2 4 1
direct
0.000 0.000 0.000
0.000 0.000 0.500
0.500 0.500 0.000
0.000 0.500 0.251
0.000 0.500 0.749
0.500 0.000 0.250
0.500 0.000 0.750
0.500 0.500 0.500
```

This record from the Alexandria database describes KYPb after structural relaxation. The functional is GGA-PBE.

The calculation puts the size of the total moment at 0.00 μB/f.u. The value obtained for the formation energy from the elements is 0.55 eV per atom. As for the symmetry: No. 216. The value obtained for the total energy is -3.2054 eV/atom. The polymorph energy (0 for the lowest one) comes out at 0.841 eV/atom.

Cell and atoms, written as POSCAR:
```
KYPb
1.0
0.000 3.766 3.766
3.766 0.000 3.766
3.766 3.766 0.000
K Y Pb
1 1 1
direct
0.000 0.000 0.000
0.750 0.750 0.750
0.250 0.250 0.250
```

This record from the Alexandria database describes Ga4S5Br2 after structural relaxation. The functional is GGA-PBE.

The calculation puts the size of the total moment at 0.00 μB/f.u. As for the symmetry: No. 8. The value obtained for the total energy is -3.8050 eV/atom. The calculation puts the uncorrected formation energy at -524 meV per atom.

Cell and atoms, written as POSCAR:
```
Ga4S5Br2
1.0
6.045 -3.391 0.000
6.045 3.391 0.000
-0.171 0.000 7.103
Ga S Br
4 5 2
direct
0.000 0.000 0.000
0.020 0.020 0.429
0.569 0.569 0.264
0.725 0.725 0.638
0.171 0.700 0.208
0.426 0.917 0.434
0.700 0.171 0.208
0.913 0.913 0.703
0.917 0.426 0.434
0.190 0.190 0.939
0.598 0.598 0.895
```